# 1
Density functional theory data (GGA-PBE) for a relaxed Ac8NiSe4S3 crystal.

a = 8.7664 Å, b = 8.8658 Å, c = 8.7666 Å
α = 119.63°, β = 120.00°, γ = 90.00°
Atoms (fractional coordinates):
Se  0.0000  0.0000  0.0000
Se  0.5000  0.0000  0.0000
Ac  0.7590  0.2669  0.0079
S  0.5000  0.5000  0.0000
Ac  0.2411  0.7332  0.4821
Ac  0.7511  0.7331  0.9921
Ac  0.2547  0.2641  0.5094
Ac  0.2489  0.2669  0.0079
S  0.5000  0.5000  0.5000
Se  0.5000  0.0000  0.5000
Ac  0.2410  0.7331  0.9921
Se  0.0000  0.0000  0.5000
Ac  0.7453  0.7359  0.4906
Ac  0.7589  0.2668  0.5179
S  0.0000  0.5000  0.5000
Ni  0.0000  0.5000  0.0000

Output
crystal system = trigonal
spin magnetization = 0.0 μB/f.u.
space group = R-3m, No. 166
E_tot = -5.771 eV per atom
E_form (uncorrected) = -1.7106 eV per atom
D(E_F) = 0.443 states/eV per atom

***

# 2
Density functional theory data (GGA-PBE) for a relaxed CoPPb3 crystal.

a = 5.4194 Å, b = 5.4194 Å, c = 5.4194 Å
α = 90.00°, β = 90.00°, γ = 90.00°
Site moments in Bohr magnetons follow the coordinates.
Atoms (fractional coordinates):
P  0.0000  0.0000  0.0000  -0.01
Pb  0.0000  0.0000  0.5000  -0.01
Pb  0.5000  0.0000  0.0000  0.00
Co  0.5000  0.5000  0.5000  2.08
Pb  0.0000  0.5000  0.0000  -0.02

Output
crystal system = cubic
spin magnetization = 2.0 μB/f.u.
space group = Pm-3m, No. 221
E_tot = -3.737 eV per atom
distance to the lowest polymorph of the same formula = 635 meV/atom
ΔH_f (0 K) = 95.6 kJ/mol of atoms
D(E_F) = 0.811 states/eV per atom